DFT (PBE) results for a relaxed structure of Rb2Sn3Pb9.

Geometry as CIF:
```
data_Rb2Sn3Pb9
_space_group_name_H-M_alt 'C 1 2/c 1'
_space_group_IT_number 15
_space_group_name_Hall '-C 2yc'
_cell_length_a 17.481
_cell_length_b 9.323
_cell_length_c 13.499
_cell_angle_alpha 90.00
_cell_angle_beta 117.90
_cell_angle_gamma 90.00
loop_
_atom_site_label
_atom_site_type_symbol
_atom_site_fract_x
_atom_site_fract_y
_atom_site_fract_z
Rb1 Rb 0.180 0.077 0.236
Sn1 Sn 0.088 0.228 0.512
Sn2 Sn 0.250 0.250 0.000
Pb1 Pb 0.000 0.331 0.250
Pb2 Pb 0.055 0.086 0.892
Pb3 Pb 0.093 0.408 0.032
Pb4 Pb 0.094 0.352 0.743
Pb5 Pb 0.218 0.406 0.436
```

Summary:
energy = -3.411 eV/atom
volume = 1944.22 Å³ per cell